(1)
TiAs3Pt | PBE-GGA | optimized geometry

* V: 110.05 Å³ per cell
* formation energy from the elements: 2.3 eV per formula unit
* space-group type: No. 221

abc: 4.792 4.792 4.792
angles: 90.00 90.00 90.00
Positions (direct):
As  0.000  0.500  0.000
As  0.000  0.000  0.500
As  0.500  0.000  0.000
Pt  0.500  0.500  0.500
Ti  0.000  0.000  0.000

***

(2)
CdTcN2F | PBE-GGA | optimized geometry

* V: 74.87 Å³ per cell
* formation energy without anion corrections: 1502 meV/atom
* space-group type: No. 123

abc: 4.218 4.218 4.208
angles: 90.00 90.00 90.00
Each line ends with the local moment (μB).
Positions (direct):
N  0.000  0.500  0.000  -0.48
N  0.500  0.000  0.000  -0.48
F  0.000  0.000  0.500  0.05
Tc  0.500  0.500  0.500  3.85
Cd  0.000  0.000  0.000  -0.03

***

(3)
HoTm6 | PBE-GGA | optimized geometry

* V: 260.29 Å³ per cell
* formation energy from the elements: 11.2 eV per formula unit
* space-group type: No. 229

abc: 6.967 6.967 6.967
angles: 109.47 109.47 109.47
Positions (direct):
Ho  0.000  0.000  0.000
Tm  0.250  0.750  0.500
Tm  0.500  0.750  0.250
Tm  0.250  0.500  0.750
Tm  0.750  0.250  0.500
Tm  0.500  0.250  0.750
Tm  0.750  0.500  0.250

***

For the records above, the corresponding electronic total energy values read -5.11 -4.46 -2.89 eV/atom.
For the records above, the corresponding total magnetization values read 0.0000 0.6047 0.0001 μB per atom.